No. 1
The following is a PBE calculation of a relaxed CaTbSc crystal, from the Alexandria database.

abc: 3.5724 3.5724 7.8851
angles: 103.09 103.09 90.00
Atoms (fractional coordinates):
Tb  0.3185  0.3185  0.6369
Ca  0.0052  0.0052  0.0103
Sc  0.6764  0.6764  0.3528

Summary:
excess energy over the best structure of this formula in the dataset = 0 meV per atom
calculated formation energy = 0.1159 eV/atom
VASP energy = -12.62 eV/cell



No. 2
The following is a PBE calculation of a relaxed CaAg2Au crystal, from the Alexandria database.

abc: 5.3876 7.5131 8.5998
angles: 90.00 90.00 93.58
Atoms (fractional coordinates):
Ag  0.8858  0.6534  0.0796
Ag  0.1067  0.0229  0.1480
Ag  0.8933  0.9771  0.8520
Ag  0.3933  0.4771  0.6480
Ag  0.6142  0.8466  0.5796
Ag  0.6067  0.5229  0.3520
Ag  0.3858  0.1534  0.4204
Ag  0.1142  0.3466  0.9204
Ca  0.3897  0.7516  0.9229
Ca  0.8897  0.2516  0.5771
Ca  0.6103  0.2484  0.0771
Ca  0.1103  0.7484  0.4229
Au  0.3964  0.1094  0.7546
Au  0.1036  0.3906  0.2546
Au  0.6036  0.8906  0.2454
Au  0.8964  0.6094  0.7454

Summary:
calculated formation energy = -0.3778 eV/atom
VASP energy = -49.97 eV/cell



> The lowest VASP energy belongs to which entry?

CaAg2Au